No. 1
Material: LaCd4Ag
Method: DFT, PBE-GGA
State: optimized geometry

Properties
As for the density of states at the Fermi level: 0.53 states/eV/atom. As for the energy above the most stable polymorph in this dataset: 0.00 kJ per mole of atoms. The spin magnetization comes out at 0.00 μB/f.u. The raw total energy is -2.13 eV per atom. For the formation energy, the calculation gives -1.4 eV per formula unit.

```
data_LaCd4Ag
_chemical_formula_sum 'La2 Cd8 Ag2'
_space_group_name_H-M_alt 'P m m a'
_space_group_IT_number 51
_cell_length_a 8.5138
_cell_length_b 4.4210
_cell_length_c 7.7948
_cell_angle_alpha 90.00
_cell_angle_beta 90.00
_cell_angle_gamma 90.00
loop_
_space_group_symop_operation_xyz
'x,y,z'
'-x,-y,-z'
'-x+1/2,-y,z'
'x+1/2,y,-z'
'x+1/2,-y,-z'
'-x+1/2,y,z'
'-x,y,-z'
'x,-y,z'
loop_
_atom_site_label
_atom_site_fract_x
_atom_site_fract_y
_atom_site_fract_z
_atom_site_occupancy
La1 0.2500 0.0000 0.1192 1
Cd1 0.0000 0.0000 0.5000 1
Cd2 0.0512 0.5000 0.8143 1
Cd3 0.2500 0.5000 0.4399 1
Ag1 0.2500 0.0000 0.7205 1
```

No. 2
Material: CsTlZn2I
Method: DFT, PBE-GGA
State: optimized geometry

Properties
As for the density of states at the Fermi level: 0.54 states/eV/atom. The spin magnetization comes out at 0.00 μB/f.u. Its uncorrected formation energy is 0.19 eV/atom. The raw total energy is -1.27 eV per atom.

```
data_CsTlZn2I
_chemical_formula_sum 'Cs1 Tl1 Zn2 I1'
_space_group_name_H-M_alt 'P 4/m m m'
_space_group_IT_number 123
_space_group_name_Hall '-P 4 2'
_cell_length_a 6.8190
_cell_length_b 6.8190
_cell_length_c 6.4369
_cell_angle_alpha 90.00
_cell_angle_beta 90.00
_cell_angle_gamma 90.00
loop_
_atom_site_label
_atom_site_fract_x
_atom_site_fract_y
_atom_site_fract_z
_atom_site_occupancy
Cs1 0.0000 0.0000 0.0000 1
Tl1 0.5000 0.5000 0.0000 1
Zn1 0.0000 0.5000 0.5000 1
I1 0.5000 0.5000 0.5000 1
```

No. 3
Material: BaCr2Ru
Method: DFT, PBE-GGA
State: optimized geometry

Properties
As for the density of states at the Fermi level: 1.20 states/eV/atom. As for the energy above the most stable polymorph in this dataset: 47.11 kJ per mole of atoms. The spin magnetization comes out at 6.78 μB/f.u. The raw total energy is -6.60 eV per atom. For the formation energy, the calculation gives 4.0 eV per formula unit.

```
data_BaCr2Ru
_chemical_formula_sum 'Ba2 Cr4 Ru2'
_space_group_name_H-M_alt 'I m m m'
_space_group_IT_number 71
_space_group_name_Hall '-I 2 2'
_cell_length_a 3.4997
_cell_length_b 5.7470
_cell_length_c 9.5774
_cell_angle_alpha 90.00
_cell_angle_beta 90.00
_cell_angle_gamma 90.00
loop_
_atom_site_label
_atom_site_fract_x
_atom_site_fract_y
_atom_site_fract_z
_atom_site_occupancy
Ba1 0.0000 0.0000 0.0000 1
Cr1 0.0000 0.5000 0.1807 1
Ru1 0.0000 0.0000 0.5000 1
```

No. 4
Material: Er3AlP2Ir9
Method: DFT, PBE-GGA
State: optimized geometry

Properties
As for the density of states at the Fermi level: 0.62 states/eV/atom. The spin magnetization comes out at 0.00 μB/f.u. The raw total energy is -7.65 eV per atom. For the formation energy, the calculation gives -6.7 eV per formula unit.

```
data_Er3AlP2Ir9
_chemical_formula_sum 'Er3 Al1 P2 Ir9'
_space_group_name_H-M_alt 'P -3 m 1'
_space_group_IT_number 164
_space_group_name_Hall '-P 3 2"'
_cell_length_a 5.5928
_cell_length_b 5.5928
_cell_length_c 10.3195
_cell_angle_alpha 90.00
_cell_angle_beta 90.00
_cell_angle_gamma 120.00
loop_
_atom_site_label
_atom_site_fract_x
_atom_site_fract_y
_atom_site_fract_z
_atom_site_occupancy
Er1 0.0000 0.0000 0.0000 1
Er2 0.3333 0.6667 0.5775 1
Al1 0.0000 0.0000 0.5000 1
P1 0.3333 0.6667 0.1610 1
Ir1 0.0000 0.5000 0.0000 1
Ir2 0.1596 0.3193 0.3089 1
```

No. 5
Material: AcGdO
Method: DFT, PBE-GGA
State: optimized geometry

Properties
As for the density of states at the Fermi level: 0.75 states/eV/atom. The spin magnetization comes out at 7.85 μB/f.u. Its uncorrected formation energy is -1.64 eV/atom. The raw total energy is -9.36 eV per atom.

```
data_AcGdO
_chemical_formula_sum 'Ac1 Gd1 O1'
_space_group_name_H-M_alt 'P 3 m 1'
_space_group_IT_number 156
_cell_length_a 3.7572
_cell_length_b 3.7572
_cell_length_c 6.3280
_cell_angle_alpha 90.00
_cell_angle_beta 90.00
_cell_angle_gamma 120.00
loop_
_space_group_symop_operation_xyz
'x,y,z'
'-y,x-y,z'
'-x+y,-x,z'
'-y,-x,z'
'-x+y,y,z'
'x,x-y,z'
loop_
_atom_site_label
_atom_site_fract_x
_atom_site_fract_y
_atom_site_fract_z
_atom_site_occupancy
Ac1 0.0000 0.0000 0.0000 1
Gd1 0.6667 0.3333 0.4572 1
O1 0.3333 0.6667 0.2920 1
```

No. 6
Material: ZnPdRu3
Method: DFT, PBE-GGA
State: optimized geometry

Properties
As for the density of states at the Fermi level: 1.14 states/eV/atom. As for the energy above the most stable polymorph in this dataset: 30.55 kJ per mole of atoms. The spin magnetization comes out at 6.30 μB/f.u. The raw total energy is -4.90 eV per atom. For the formation energy, the calculation gives 9.8 eV per formula unit.

```
data_ZnPdRu3
_chemical_formula_sum 'Zn1 Pd1 Ru3'
_space_group_name_H-M_alt 'P m -3 m'
_space_group_IT_number 221
_space_group_name_Hall '-P 4 2 3'
_cell_length_a 4.7600
_cell_length_b 4.7600
_cell_length_c 4.7600
_cell_angle_alpha 90.00
_cell_angle_beta 90.00
_cell_angle_gamma 90.00
loop_
_atom_site_label
_atom_site_fract_x
_atom_site_fract_y
_atom_site_fract_z
_atom_site_occupancy
Zn1 0.0000 0.0000 0.0000 1
Pd1 0.5000 0.5000 0.5000 1
Ru1 0.0000 0.5000 0.5000 1
```